NdDyV2O8: relaxed, PBE+U.

Calculated values
The calculation puts the mass density at 5.2 Mg/m³. For the total energy, the calculation gives -193.16 eV for the cell shown. Its density of states at the Fermi level is 0.00 states/eV/cell.

abc: 7.3268 7.3268 6.4241
angles: 90.00 90.00 90.00
Space group I-4m2 (No. 119)
One atom of each set of equivalent atoms:
Nd 0.0000 0.0000 0.0000
Dy 0.0000 0.5000 0.2500
V 0.0000 0.0000 0.5000
V 0.0000 0.5000 0.7500
O 0.0000 0.1854 0.3299
O 0.0000 0.3207 0.9272